Entry 1:
The following is a DFT calculation (PBE) of crystalline TcNi2W at its relaxed geometry.

Cell: 2.694 2.694 25.731 Å, 90.00 90.00 120.00°
Atoms (fractional coordinates):
1 Tc 0.000 0.000 0.000
2 Tc 0.333 0.667 0.667
3 Tc 0.667 0.333 0.333
4 Ni 0.000 0.000 0.253
5 Ni 0.000 0.000 0.509
6 Ni 0.333 0.667 0.176
7 Ni 0.333 0.667 0.920
8 Ni 0.667 0.333 0.586
9 Ni 0.667 0.333 0.842
10 W 0.000 0.000 0.759
11 W 0.333 0.667 0.426
12 W 0.667 0.333 0.092

* calculated formation energy: 196 meV/atom
* relative energy among the computed polymorphs: 224 meV per atom
* space group: No. 160
* DFT total energy: -8.5245 eV/atom

Entry 2:
The following is a DFT calculation (PBE) of crystalline Ba3TlC at its relaxed geometry.

Cell: 5.748 5.748 5.748 Å, 90.00 90.00 90.00°
Atoms (fractional coordinates):
1 Ba 0.000 0.000 0.500
2 Ba 0.000 0.500 0.000
3 Ba 0.500 0.000 0.000
4 Tl 0.500 0.500 0.500
5 C 0.000 0.000 0.000

* calculated formation energy: 287 meV/atom
* relative energy among the computed polymorphs: 0 meV per atom
* space group: No. 221
* DFT total energy: -3.1851 eV/atom

Entry 3:
The following is a DFT calculation (PBE) of crystalline LiZnSn2 at its relaxed geometry.

Cell: 4.480 4.480 16.307 Å, 90.00 90.00 120.00°
Atoms (fractional coordinates):
1 Li 0.000 0.000 0.000
2 Li 0.333 0.667 0.667
3 Li 0.667 0.333 0.333
4 Zn 0.000 0.000 0.820
5 Zn 0.333 0.667 0.487
6 Zn 0.667 0.333 0.154
7 Sn 0.000 0.000 0.227
8 Sn 0.000 0.000 0.420
9 Sn 0.333 0.667 0.087
10 Sn 0.333 0.667 0.893
11 Sn 0.667 0.333 0.560
12 Sn 0.667 0.333 0.753

* calculated formation energy: -48 meV/atom
* space group: No. 160
* DFT total energy: -2.8461 eV/atom

Entry 4:
The following is a DFT calculation (PBE) of crystalline HfAgHg2 at its relaxed geometry.

Cell: 7.733 7.733 6.075 Å, 90.00 90.00 90.00°
Atoms (fractional coordinates):
1 Hf 0.000 0.000 0.000
2 Hf 0.000 0.500 0.250
3 Hf 0.500 0.000 0.750
4 Hf 0.500 0.500 0.500
5 Ag 0.000 0.000 0.500
6 Ag 0.000 0.500 0.750
7 Ag 0.500 0.000 0.250
8 Ag 0.500 0.500 0.000
9 Hg 0.244 0.250 0.625
10 Hg 0.250 0.744 0.875
11 Hg 0.250 0.756 0.375
12 Hg 0.256 0.250 0.125
13 Hg 0.744 0.750 0.125
14 Hg 0.750 0.244 0.375
15 Hg 0.750 0.256 0.875
16 Hg 0.756 0.750 0.625

* calculated formation energy: 305 meV/atom
* space group: No. 122
* DFT total energy: -3.0474 eV/atom

Entry 5:
The following is a DFT calculation (PBE) of crystalline TaBe2Cr at its relaxed geometry.

Cell: 5.169 6.940 2.648 Å, 90.00 90.20 90.00°
Atoms (fractional coordinates):
1 Ta 0.000 0.000 0.000
2 Ta 0.500 0.500 0.000
3 Be 0.250 0.250 0.500
4 Be 0.250 0.750 0.500
5 Be 0.750 0.250 0.500
6 Be 0.750 0.750 0.500
7 Cr 0.000 0.500 0.000
8 Cr 0.500 0.000 0.000

* calculated formation energy: 140 meV/atom
* relative energy among the computed polymorphs: 185 meV per atom
* space group: No. 12
* DFT total energy: -7.0926 eV/atom

Entry 6:
The following is a DFT calculation (PBE) of crystalline Cr2SbCl at its relaxed geometry.

Cell: 13.939 3.740 3.913 Å, 90.00 105.97 90.00°
Atoms (fractional coordinates):
1 Cr 0.000 0.000 0.000
2 Cr 0.194 0.000 0.693
3 Cr 0.500 0.500 0.000
4 Cr 0.694 0.500 0.693
5 Sb 0.043 0.500 0.542
6 Sb 0.543 0.000 0.542
7 Cl 0.316 0.500 0.818
8 Cl 0.816 0.000 0.818

* uncorrected formation energy: 38 meV/atom
* relative energy among the computed polymorphs: 76 meV per atom
* space group: No. 8
* DFT total energy: -6.2656 eV/atom

Entry 7:
The following is a DFT calculation (PBE) of crystalline Ca2RhCl at its relaxed geometry.

Cell: 3.490 3.717 15.123 Å, 90.00 90.00 90.00°
Atoms (fractional coordinates):
1 Ca 0.000 0.000 0.000
2 Ca 0.000 0.500 0.278
3 Ca 0.500 0.000 0.778
4 Ca 0.500 0.500 0.500
5 Rh 0.000 0.000 0.411
6 Rh 0.500 0.500 0.911
7 Cl 0.000 0.500 0.666
8 Cl 0.500 0.000 0.166

* uncorrected formation energy: -955 meV/atom
* relative energy among the computed polymorphs: 108 meV per atom
* space group: No. 44
* DFT total energy: -4.2552 eV/atom

Entry 8:
The following is a DFT calculation (PBE) of crystalline Ca2LaMn at its relaxed geometry.

Cell: 3.589 5.538 6.685 Å, 90.00 102.15 90.00°
Atoms (fractional coordinates):
1 Ca 0.184 0.000 0.269
2 Ca 0.816 0.000 0.731
3 La 0.500 0.500 0.000
4 Mn 0.000 0.500 0.500

* calculated formation energy: 404 meV/atom
* relative energy among the computed polymorphs: 211 meV per atom
* space group: No. 10
* DFT total energy: -4.1213 eV/atom

Quick rundown of N(E_F), same order as above: 1.40 2.06 0.54 0.77 0.56 0.23 0.28 1.45 states/eV per atom